# 1
## ZnTeP2Pd (PBE-GGA)

Data for a relaxed structure of ZnTeP2Pd.

Output
- formation energy from raw total energies (eV per atom) = 0.73
- total magnetization (Bohr magnetons per cell) = 0.00
- N(E_F) (states/eV per cell) = 4.28

Cell: 4.6015 4.6015 4.8588 Å, 90.00 90.00 90.00°
Space group P4/mmm (No. 123)
Asymmetric unit:
Zn  0.0000  0.0000  0.0000 x1
Te  0.5000  0.5000  0.5000 x1
P  0.0000  0.5000  0.0000 x2
Pd  0.0000  0.0000  0.5000 x1



# 2
## CeHoTe (PBE-GGA)

Data for a relaxed structure of CeHoTe.

Output
- distance to the lowest polymorph of the same formula (eV per atom) = 0.0000
- formation energy from raw total energies (eV per atom) = -0.86
- total magnetization (Bohr magnetons per cell) = 0.67
- N(E_F) (states/eV per cell) = 8.77

Cell: 4.2450 4.2481 8.9392 Å, 90.00 90.72 90.00°
Space group P2_1/m (No. 11)
Asymmetric unit:
Ce  0.2254  0.2500  0.0013 x2
Ho  0.2467  0.7500  0.3668 x2
Te  0.2562  0.7500  0.7148 x2



# 3
## GdYHg (PBE-GGA)

Data for a relaxed structure of GdYHg.

Output
- distance to the lowest polymorph of the same formula (eV per atom) = 0.0000
- total magnetization (Bohr magnetons per cell) = 16.52
- formation enthalpy at 0 K (eV/f.u.) = -1.00
- N(E_F) (states/eV per cell) = 6.87

Cell: 3.6717 3.6717 12.7168 Å, 90.00 90.00 90.00°
Space group I4mm (No. 107)
Asymmetric unit:
Gd  0.0000  0.0000  0.0000 x2
Y  0.0000  0.0000  0.3043 x2
Hg  0.0000  0.0000  0.6561 x2



> What is the formula in the third record?

GdYHg